(1)
Crystalline Nd2ZnNi3 at its relaxed geometry, computed with GGA-PBE.

Results
- M_tot: 0.00 Bohr magnetons per cell
- Offset from the most stable computed form: 21 meV/atom
- V: 19.39 Å³ per atom
- Formation enthalpy at 0 K: -0.32 eV/atom

abc: 8.3114 8.1767 5.6934
angles: 71.08 68.53 40.39
Closest atoms and distances in Å follow each position.
Atoms (fractional coordinates):
Nd  0.2467  0.7533  0.7533  10 Ni 3.05-3.12, 2 Zn 3.10
Nd  0.2500  0.2500  0.2500  4 Zn 3.09, 8 Ni 3.10
Nd  0.7500  0.7500  0.7500  4 Zn 3.09, 8 Ni 3.10
Nd  0.7533  0.2467  0.2467  10 Ni 3.05-3.12, 2 Zn 3.10
Zn  0.3339  0.3339  0.6661  3 Ni 2.43
Zn  0.6661  0.6661  0.3339  3 Ni 2.43
Ni  0.1643  0.6709  0.3291  2 Ni 2.37, 1 Zn 2.43
Ni  0.1652  0.1652  0.8348  2 Ni 2.37, 1 Zn 2.43
Ni  0.3291  0.8357  0.1643  2 Ni 2.37, 1 Zn 2.43
Ni  0.6709  0.1643  0.8357  2 Ni 2.37, 1 Zn 2.43
Ni  0.8348  0.8348  0.1652  2 Ni 2.37, 1 Zn 2.43
Ni  0.8357  0.3291  0.6709  2 Ni 2.37, 1 Zn 2.43


(2)
Crystalline Nd11Zn9Ni4 at its relaxed geometry, computed with GGA-PBE.

Results
- M_tot: 0.00 Bohr magnetons per cell
- V: 23.14 Å³ per atom
- Formation enthalpy at 0 K: -0.32 eV/atom

abc: 12.7844 12.7844 3.6837
angles: 90.00 90.00 112.74
Closest atoms and distances in Å follow each position.
Atoms (fractional coordinates):
Nd  0.0000  0.0000  0.0000  8 Zn 3.15
Nd  0.0715  0.4133  0.0000  2 Ni 2.80, 2 Zn 3.13
Nd  0.1676  0.8324  0.0000  8 Zn 3.16-3.47, 2 Nd 3.43
Nd  0.3039  0.3039  0.0000  4 Ni 2.89
Nd  0.3732  0.6268  0.0000  4 Ni 2.89, 4 Zn 3.24
Nd  0.4133  0.0715  0.0000  2 Ni 2.80, 2 Zn 3.13
Nd  0.5867  0.9285  0.0000  2 Ni 2.80, 2 Zn 3.13
Nd  0.6268  0.3732  0.0000  4 Ni 2.89, 4 Zn 3.24
Nd  0.6961  0.6961  0.0000  4 Ni 2.89
Nd  0.8324  0.1676  0.0000  8 Zn 3.16-3.47, 2 Nd 3.43
Nd  0.9285  0.5867  0.0000  2 Ni 2.80, 2 Zn 3.13
Zn  0.0767  0.2170  0.5000  1 Ni 2.91, 1 Zn 2.99, 6 Nd 3.13-3.25
Zn  0.1667  0.6315  0.5000  1 Zn 2.86, 1 Ni 2.90, 4 Nd 3.16-3.17
Zn  0.2170  0.0767  0.5000  1 Ni 2.91, 1 Zn 2.99, 6 Nd 3.13-3.25
Zn  0.3685  0.8333  0.5000  1 Zn 2.86, 1 Ni 2.90, 4 Nd 3.16-3.17
Zn  0.5000  0.5000  0.5000  4 Ni 3.04, 8 Nd 3.27-3.33
Zn  0.6315  0.1667  0.5000  1 Zn 2.86, 1 Ni 2.90, 4 Nd 3.16-3.17
Zn  0.7830  0.9233  0.5000  1 Ni 2.91, 1 Zn 2.99, 6 Nd 3.13-3.25
Zn  0.8333  0.3685  0.5000  1 Zn 2.86, 1 Ni 2.90, 4 Nd 3.16-3.17
Zn  0.9233  0.7830  0.5000  1 Ni 2.91, 1 Zn 2.99, 6 Nd 3.13-3.25
Ni  0.2469  0.4481  0.5000  6 Nd 2.80-2.89, 3 Zn 2.90-3.04
Ni  0.4481  0.2469  0.5000  6 Nd 2.80-2.89, 3 Zn 2.90-3.04
Ni  0.5519  0.7531  0.5000  6 Nd 2.80-2.89, 3 Zn 2.90-3.04
Ni  0.7531  0.5519  0.5000  6 Nd 2.80-2.89, 3 Zn 2.90-3.04


(3)
Crystalline NdZn4Ni at its relaxed geometry, computed with GGA-PBE.

Results
- M_tot: 0.00 Bohr magnetons per cell
- Offset from the most stable computed form: 320 meV/atom
- V: 22.70 Å³ per atom
- Formation enthalpy at 0 K: 0.12 eV/atom

abc: 4.4795 4.4795 6.7883
angles: 90.00 90.00 90.00
Closest atoms and distances in Å follow each position.
Atoms (fractional coordinates):
Nd  0.0000  0.0000  0.0000  8 Zn 3.37
Zn  0.0000  0.5000  0.5000  2 Ni 2.24
Zn  0.5000  0.0000  0.5000  2 Ni 2.24
Zn  0.5000  0.5000  0.1714  1 Ni 2.23, 1 Zn 2.33
Zn  0.5000  0.5000  0.8286  1 Ni 2.23, 1 Zn 2.33
Ni  0.5000  0.5000  0.5000  6 Zn 2.23-2.24


(4)
Crystalline Nd12Zn6Ni at its relaxed geometry, computed with GGA-PBE.

Results
- M_tot: 0.00 Bohr magnetons per cell
- V: 29.05 Å³ per atom
- Formation enthalpy at 0 K: -0.10 eV/atom

abc: 8.2220 8.2220 8.2220
angles: 93.80 93.80 93.80
Closest atoms and distances in Å follow each position.
Atoms (fractional coordinates):
Nd  0.0438  0.9293  0.6954  4 Zn 3.05-3.28
Nd  0.0707  0.3046  0.9562  4 Zn 3.05-3.28
Nd  0.1796  0.4136  0.5327  1 Ni 2.72
Nd  0.3046  0.9562  0.0707  4 Zn 3.05-3.28
Nd  0.4136  0.5327  0.1796  1 Ni 2.72
Nd  0.4673  0.8204  0.5864  1 Ni 2.72
Nd  0.5327  0.1796  0.4136  1 Ni 2.72
Nd  0.5864  0.4673  0.8204  1 Ni 2.72
Nd  0.6954  0.0438  0.9293  4 Zn 3.05-3.28
Nd  0.8204  0.5864  0.4673  1 Ni 2.72
Nd  0.9293  0.6954  0.0438  4 Zn 3.05-3.28
Nd  0.9562  0.0707  0.3046  4 Zn 3.05-3.28
Zn  0.1569  0.7585  0.3530  8 Nd 3.05-3.29
Zn  0.2415  0.6470  0.8431  8 Nd 3.05-3.29
Zn  0.3530  0.1569  0.7585  8 Nd 3.05-3.29
Zn  0.6470  0.8431  0.2415  8 Nd 3.05-3.29
Zn  0.7585  0.3530  0.1569  8 Nd 3.05-3.29
Zn  0.8431  0.2415  0.6470  8 Nd 3.05-3.29
Ni  0.5000  0.5000  0.5000  6 Nd 2.72


(5)
Crystalline NdZn2Ni9 at its relaxed geometry, computed with GGA-PBE.

Results
- M_tot: 5.81 Bohr magnetons per cell
- Offset from the most stable computed form: 0 meV/atom
- V: 13.04 Å³ per atom
- Formation enthalpy at 0 K: -0.20 eV/atom

abc: 8.1027 8.1027 4.7687
angles: 90.00 90.00 90.00
Closest atoms and distances in Å follow each position.
Atoms (fractional coordinates):
Nd  0.0000  0.0000  0.0000  16 Ni 2.98-3.20, 4 Zn 3.24
Nd  0.5000  0.5000  0.0000  16 Ni 2.98-3.20, 4 Zn 3.24
Zn  0.1173  0.3827  0.0000  12 Ni 2.62-2.79, 1 Zn 2.69
Zn  0.3827  0.8827  0.0000  12 Ni 2.62-2.79, 1 Zn 2.69
Zn  0.6173  0.1173  0.0000  12 Ni 2.62-2.79, 1 Zn 2.69
Zn  0.8827  0.6173  0.0000  12 Ni 2.62-2.79, 1 Zn 2.69
Ni  0.0000  0.5000  0.5000  8 Ni 2.38-2.40
Ni  0.0652  0.2116  0.5000  8 Ni 2.40-2.56
Ni  0.1781  0.6781  0.2433  7 Ni 2.32-2.49
Ni  0.1781  0.6781  0.7567  7 Ni 2.32-2.49
Ni  0.2116  0.9348  0.5000  8 Ni 2.40-2.56
Ni  0.2884  0.4348  0.5000  8 Ni 2.40-2.56
Ni  0.3219  0.1781  0.2433  7 Ni 2.32-2.49
Ni  0.3219  0.1781  0.7567  7 Ni 2.32-2.49
Ni  0.4348  0.7116  0.5000  8 Ni 2.40-2.56
Ni  0.5000  0.0000  0.5000  8 Ni 2.38-2.40
Ni  0.5652  0.2884  0.5000  8 Ni 2.40-2.56
Ni  0.6781  0.8219  0.2433  7 Ni 2.32-2.49
Ni  0.6781  0.8219  0.7567  7 Ni 2.32-2.49
Ni  0.7116  0.5652  0.5000  8 Ni 2.40-2.56
Ni  0.7884  0.0652  0.5000  8 Ni 2.40-2.56
Ni  0.8219  0.3219  0.2433  7 Ni 2.32-2.49
Ni  0.8219  0.3219  0.7567  7 Ni 2.32-2.49
Ni  0.9348  0.7884  0.5000  8 Ni 2.40-2.56


(6)
Crystalline Nd2Zn4Ni3 at its relaxed geometry, computed with GGA-PBE.

Results
- M_tot: 0.00 Bohr magnetons per cell
- V: 17.18 Å³ per atom
- Formation enthalpy at 0 K: -0.31 eV/atom

abc: 7.9769 7.0651 5.2189
angles: 79.43 60.54 40.03
Closest atoms and distances in Å follow each position.
Atoms (fractional coordinates):
Nd  0.1257  0.1257  0.8743  8 Zn 3.04-3.21, 6 Ni 3.08-3.09, 1 Nd 3.30
Nd  0.8743  0.8743  0.1257  8 Zn 3.04-3.21, 6 Ni 3.08-3.09, 1 Nd 3.30
Zn  0.1745  0.5083  0.4917  3 Ni 2.57, 1 Zn 2.83
Zn  0.4917  0.8255  0.1745  3 Ni 2.57, 1 Zn 2.83
Zn  0.5083  0.1745  0.8255  3 Ni 2.57, 1 Zn 2.83
Zn  0.8255  0.4917  0.5083  3 Ni 2.57, 1 Zn 2.83
Ni  0.0000  0.0000  0.5000  4 Zn 2.57, 4 Ni 2.60-2.61
Ni  0.5000  0.5000  0.0000  4 Zn 2.57, 4 Ni 2.60-2.61
Ni  0.5000  0.5000  0.5000  4 Zn 2.57, 4 Ni 2.61


(7)
Crystalline Nd3Zn2Ni6 at its relaxed geometry, computed with GGA-PBE.

Results
- M_tot: 0.00 Bohr magnetons per cell
- V: 16.96 Å³ per atom
- Formation enthalpy at 0 K: -0.37 eV/atom

abc: 7.8556 7.8556 7.8556
angles: 109.47 109.47 109.47
Closest atoms and distances in Å follow each position.
Atoms (fractional coordinates):
Nd  0.0000  0.2945  0.2945  8 Ni 2.79-3.09
Nd  0.0000  0.7055  0.7055  8 Ni 2.79-3.09
Nd  0.2945  0.0000  0.2945  8 Ni 2.79-3.09
Nd  0.2945  0.2945  0.0000  8 Ni 2.79-3.09
Nd  0.7055  0.0000  0.7055  8 Ni 2.79-3.09
Nd  0.7055  0.7055  0.0000  8 Ni 2.79-3.09
Zn  0.0000  0.0000  0.5000  6 Ni 2.53
Zn  0.0000  0.5000  0.0000  6 Ni 2.53
Zn  0.5000  0.0000  0.0000  6 Ni 2.53
Zn  0.5000  0.5000  0.5000  6 Ni 2.53
Ni  0.0000  0.3377  0.6623  2 Zn 2.53, 4 Ni 2.62, 2 Nd 2.79
Ni  0.0000  0.6623  0.3377  2 Zn 2.53, 4 Ni 2.62, 2 Nd 2.79
Ni  0.3246  0.6623  0.6623  2 Zn 2.53, 4 Ni 2.62, 2 Nd 2.79
Ni  0.3377  0.0000  0.6623  2 Zn 2.53, 4 Ni 2.62, 2 Nd 2.79
Ni  0.3377  0.3377  0.6754  2 Zn 2.53, 4 Ni 2.62, 2 Nd 2.79
Ni  0.3377  0.6623  0.0000  2 Zn 2.53, 4 Ni 2.62, 2 Nd 2.79
Ni  0.3377  0.6754  0.3377  2 Zn 2.53, 4 Ni 2.62, 2 Nd 2.79
Ni  0.6623  0.0000  0.3377  2 Zn 2.53, 4 Ni 2.62, 2 Nd 2.79
Ni  0.6623  0.3246  0.6623  2 Zn 2.53, 4 Ni 2.62, 2 Nd 2.79
Ni  0.6623  0.3377  0.0000  2 Zn 2.53, 4 Ni 2.62, 2 Nd 2.79
Ni  0.6623  0.6623  0.3246  2 Zn 2.53, 4 Ni 2.62, 2 Nd 2.79
Ni  0.6754  0.3377  0.3377  2 Zn 2.53, 4 Ni 2.62, 2 Nd 2.79


(8)
Crystalline Nd5ZnNi2 at its relaxed geometry, computed with GGA-PBE.

Results
- M_tot: 0.00 Bohr magnetons per cell
- V: 25.84 Å³ per atom
- Formation enthalpy at 0 K: -0.22 eV/atom

abc: 8.6251 8.6251 8.6251
angles: 125.12 125.12 81.34
Closest atoms and distances in Å follow each position.
Atoms (fractional coordinates):
Nd  0.0000  0.0000  0.0000  4 Ni 3.18, 2 Zn 3.27, 8 Nd 3.50
Nd  0.0223  0.5223  0.8241  3 Ni 2.90-3.07
Nd  0.1982  0.0223  0.5000  3 Ni 2.90-3.07
Nd  0.3018  0.8018  0.8241  3 Ni 2.90-3.07
Nd  0.4777  0.3018  0.5000  3 Ni 2.90-3.07
Nd  0.5000  0.5000  0.0000  4 Ni 3.18, 2 Zn 3.27, 8 Nd 3.50
Nd  0.5223  0.6982  0.5000  3 Ni 2.90-3.07
Nd  0.6982  0.1982  0.1759  3 Ni 2.90-3.07
Nd  0.8018  0.9777  0.5000  3 Ni 2.90-3.07
Nd  0.9777  0.4777  0.1759  3 Ni 2.90-3.07
Zn  0.2500  0.2500  0.0000  10 Nd 3.27-3.31
Zn  0.7500  0.7500  0.0000  10 Nd 3.27-3.31
Ni  0.1185  0.3815  0.5000  1 Ni 2.67, 4 Nd 2.90
Ni  0.3815  0.8815  0.2629  1 Ni 2.67, 4 Nd 2.90
Ni  0.6185  0.1185  0.7371  1 Ni 2.67, 4 Nd 2.90
Ni  0.8815  0.6185  0.5000  1 Ni 2.67, 4 Nd 2.90


- Among the records above, which one has the lowest formation enthalpy at 0 K?
  Nd3Zn2Ni6